No. 1
The following is a DFT calculation (PBE-GGA) of a geometry-optimized Hf2CrAu structure.

Cell: 3.2686 3.2686 6.7634 Å, 90.00 90.00 90.00°
Space group P4/mmm (No. 123)
Unique sites:
Hf  0.0000  0.0000  0.2250 x2
Cr  0.5000  0.5000  0.0000 x1
Au  0.5000  0.5000  0.5000 x1

The formation energy is -233 meV/atom. As for the crystal system: tetragonal. As for the total magnetization: 0.1 μB per formula unit. The relative energy among the computed polymorphs comes out at 0.0 meV per atom.



No. 2
The following is a DFT calculation (PBE-GGA) of a geometry-optimized AcPmDyPu structure.

Cell: 8.2301 8.2301 8.2301 Å, 90.00 90.00 90.00°
Space group F-43m (No. 216)
Unique sites:
Ac  0.0000  0.0000  0.0000 x4
Pm  0.2500  0.2500  0.2500 x4
Dy  0.2500  0.2500  0.7500 x4
Pu  0.0000  0.0000  0.5000 x4

The formation energy is 267 meV/atom. As for the crystal system: cubic. As for the total magnetization: 7.1 μB per formula unit.